Entry from the Alexandria database: a relaxed KCoSn2Br8 crystal (PBE).

Geometry as CIF:
```
data_KCoSn2Br8
_space_group_name_H-M_alt 'P 1'
_space_group_IT_number 1
_space_group_name_Hall 'P 1'
_cell_length_a 7.5006
_cell_length_b 7.1544
_cell_length_c 8.9290
_cell_angle_alpha 90.49
_cell_angle_beta 60.94
_cell_angle_gamma 95.35
loop_
_atom_site_label
_atom_site_type_symbol
_atom_site_fract_x
_atom_site_fract_y
_atom_site_fract_z
_atom_site_occupancy
Br1 Br 0.7178 0.5481 0.5639 1
Br2 Br 0.0978 0.2530 0.1363 1
Br3 Br 0.3264 0.0644 0.7376 1
Br4 Br 0.9022 0.7470 0.8637 1
Sn1 Sn 0.2477 0.4540 0.7606 1
K1 K 0.0000 0.0000 0.5000 1
Br5 Br 0.1482 0.7827 0.1054 1
Br6 Br 0.6736 0.9356 0.2624 1
Br7 Br 0.8518 0.2173 0.8946 1
Sn2 Sn 0.7523 0.5460 0.2394 1
Co1 Co 0.0000 0.0000 0.0000 1
Br8 Br 0.2822 0.4519 0.4361 1
```

Results
Its uncorrected formation energy is -74.0 kJ/mol of atoms. The value obtained for the volume is 416.7 Å³/f.u. The calculation puts the total energy at -0.1188 Ha/atom.

Entry from the Alexandria database: a relaxed Ac2LaPmNd4 crystal (PBE).

Geometry as CIF:
```
data_Ac2LaPmNd4
_space_group_name_H-M_alt 'P 1'
_space_group_IT_number 1
_space_group_name_Hall 'P 1'
_cell_length_a 3.7889
_cell_length_b 12.3910
_cell_length_c 6.5460
_cell_angle_alpha 79.59
_cell_angle_beta 90.00
_cell_angle_gamma 90.00
loop_
_atom_site_label
_atom_site_type_symbol
_atom_site_fract_x
_atom_site_fract_y
_atom_site_fract_z
_atom_site_occupancy
La1 La 0.5000 0.5000 0.0000 1
Ac1 Ac 0.0000 0.0000 0.0000 1
Nd1 Nd 0.5000 0.7439 0.2527 1
Nd2 Nd 0.5000 0.2561 0.7473 1
Nd3 Nd 0.0000 0.7448 0.7514 1
Ac2 Ac 0.5000 0.0000 0.5000 1
Pm1 Pm 0.0000 0.5000 0.5000 1
Nd4 Nd 0.0000 0.2552 0.2486 1
```

Results
The calculation puts the formation energy from the elements at 0.25 eV per formula unit. The value obtained for the volume is 302.3 Å³/f.u. The calculation puts the total energy at -0.1687 Ha/atom.

Entry from the Alexandria database: a relaxed Tb6Nd2HoSc3 crystal (PBE).

Geometry as CIF:
```
data_Tb6Nd2HoSc3
_space_group_name_H-M_alt 'P 1'
_space_group_IT_number 1
_space_group_name_Hall 'P 1'
_cell_length_a 6.0920
_cell_length_b 6.0920
_cell_length_c 11.5452
_cell_angle_alpha 95.04
_cell_angle_beta 95.04
_cell_angle_gamma 119.99
loop_
_atom_site_label
_atom_site_type_symbol
_atom_site_fract_x
_atom_site_fract_y
_atom_site_fract_z
_atom_site_occupancy
Sc1 Sc 0.8337 0.1663 0.5000 1
Ho1 Ho 0.0000 0.0000 0.0000 1
Nd1 Nd 0.6667 0.3333 0.0000 1
Tb1 Tb 0.0871 0.4198 0.2615 1
Tb2 Tb 0.2456 0.2456 0.7385 1
Tb3 Tb 0.4198 0.0871 0.2615 1
Nd2 Nd 0.3333 0.6667 0.0000 1
Sc2 Sc 0.1663 0.8337 0.5000 1
Tb4 Tb 0.5802 0.9129 0.7385 1
Tb5 Tb 0.9129 0.5802 0.7385 1
Tb6 Tb 0.7544 0.7544 0.2615 1
Sc3 Sc 0.5000 0.5000 0.5000 1
```

Results
The calculation puts the formation energy from the elements at 0.55 eV per formula unit. The value obtained for the volume is 365.3 Å³/f.u. The calculation puts the total energy at -0.1848 Ha/atom.

Entry from the Alexandria database: a relaxed CeHoTcPd crystal (PBE).

Geometry as CIF:
```
data_CeHoTcPd
_space_group_name_H-M_alt 'P 1'
_space_group_IT_number 1
_space_group_name_Hall 'P 1'
_cell_length_a 4.9138
_cell_length_b 4.9138
_cell_length_c 4.9138
_cell_angle_alpha 60.00
_cell_angle_beta 60.00
_cell_angle_gamma 60.00
loop_
_atom_site_label
_atom_site_type_symbol
_atom_site_fract_x
_atom_site_fract_y
_atom_site_fract_z
_atom_site_occupancy
Ce1 Ce 0.7500 0.7500 0.7500 1
Pd1 Pd 0.0000 0.0000 0.0000 1
Tc1 Tc 0.5000 0.5000 0.5000 1
Ho1 Ho 0.2500 0.2500 0.2500 1
```

Results
The calculation puts the formation energy from the elements at -1.50 eV per formula unit. The value obtained for the volume is 83.9 Å³/f.u. The calculation puts the total energy at -0.2533 Ha/atom.

Entry from the Alexandria database: a relaxed Ca6AsP2Br3 crystal (PBE).

Geometry as CIF:
```
data_Ca6AsP2Br3
_space_group_name_H-M_alt 'P 1'
_space_group_IT_number 1
_space_group_name_Hall 'P 1'
_cell_length_a 7.3915
_cell_length_b 7.3915
_cell_length_c 7.5088
_cell_angle_alpha 99.43
_cell_angle_beta 99.43
_cell_angle_gamma 120.01
loop_
_atom_site_label
_atom_site_type_symbol
_atom_site_fract_x
_atom_site_fract_y
_atom_site_fract_z
_atom_site_occupancy
P1 P 0.3335 0.6665 0.0000 1
Br1 Br 0.1678 0.8322 0.5000 1
Ca1 Ca 0.0679 0.4070 0.2039 1
Ca2 Ca 0.2712 0.2712 0.7959 1
Br2 Br 0.8322 0.1678 0.5000 1
Br3 Br 0.5000 0.5000 0.5000 1
P2 P 0.6665 0.3335 0.0000 1
Ca3 Ca 0.9321 0.5930 0.7961 1
Ca4 Ca 0.7288 0.7288 0.2041 1
Ca5 Ca 0.4070 0.0679 0.2039 1
Ca6 Ca 0.5930 0.9321 0.7961 1
As1 As 0.0000 0.0000 0.0000 1
```

Results
Its uncorrected formation energy is -150.1 kJ/mol of atoms. The value obtained for the volume is 335.6 Å³/f.u. The calculation puts the total energy at -0.1567 Ha/atom.

Entry from the Alexandria database: a relaxed LaHg2Pd2 crystal (PBE).

Geometry as CIF:
```
data_LaHg2Pd2
_space_group_name_H-M_alt 'P 1'
_space_group_IT_number 1
_space_group_name_Hall 'P 1'
_cell_length_a 5.4059
_cell_length_b 5.4059
_cell_length_c 9.8290
_cell_angle_alpha 94.46
_cell_angle_beta 94.46
_cell_angle_gamma 123.74
loop_
_atom_site_label
_atom_site_type_symbol
_atom_site_fract_x
_atom_site_fract_y
_atom_site_fract_z
_atom_site_occupancy
Pd1 Pd 0.4651 0.0349 0.2500 1
Hg1 Hg 0.3766 0.1831 0.9978 1
Hg2 Hg 0.3169 0.1234 0.5022 1
Hg3 Hg 0.6831 0.8766 0.4978 1
Pd2 Pd 0.7987 0.7013 0.2500 1
La1 La 0.8859 0.6141 0.7500 1
La2 La 0.1141 0.3859 0.2500 1
Pd3 Pd 0.5349 0.9651 0.7500 1
Hg4 Hg 0.6234 0.8169 0.0022 1
Pd4 Pd 0.2013 0.2987 0.7500 1
```

Results
The calculation puts the formation energy from the elements at -2.27 eV per formula unit. The value obtained for the volume is 117.8 Å³/f.u. The value obtained for the energy above the most stable polymorph in this dataset is 73.8 meV per atom. The calculation puts the total energy at -0.1337 Ha/atom.